Record 1
A relaxed structure of Pr4In5Pd2. Source: the Alexandria database, functional PBE.

Results
ΔE_f = -613 kJ/mol of formula units

abc: 7.8712 3.8024 9.9644
angles: 90.00 94.50 90.00
Last column: nearest neighbours and their distance in Å.
Space group P2/m (No. 10)
Asymmetric unit:
Pr1 0.1740 0.0000 0.3614 x2  2 Pd 2.99
Pr2 0.2351 0.0000 0.9418 x2  4 Pd 3.09-3.11, 6 In 3.43-3.45
In1 0.1829 0.5000 0.6553 x2  1 Pd 2.97, 2 In 3.04-3.18
In2 0.4499 0.5000 0.1863 x2  1 Pd 2.99, 2 In 3.12-3.18
In3 0.5000 0.5000 0.5000 x1  4 In 3.04-3.12, 4 Pr 3.40
Pd1 0.0696 0.5000 0.1379 x2  1 Pd 2.88, 2 In 2.97-2.99, 6 Pr 2.99-3.11


Record 2
A relaxed structure of Ca2DyGe3Au12. Source: the Alexandria database, functional PBE.

Results
ΔE_f = -273 kJ/mol of formula units

abc: 9.1941 9.1941 17.6459
angles: 90.00 90.00 120.00
Last column: nearest neighbours and their distance in Å.
Space group R-3m (No. 166, hexagonal axes)
Asymmetric unit:
Ca1 0.0000 0.0000 0.0965 x6  6 Au 2.93-3.12
Dy1 0.0000 0.0000 0.5000 x3  6 Au 2.89
Ge1 0.0000 0.5000 0.0000 x9  6 Au 2.57-2.61
Au1 0.0173 0.5086 0.3158 x18  2 Ge 2.61, 2 Au 2.86
Au2 0.0269 0.5134 0.8548 x18  1 Ge 2.57


Record 3
A relaxed structure of Zr3SiH. Source: the Alexandria database, functional PBE.

Results
polymorph energy (0 for the lowest one) = 33.2 meV per atom

abc: 4.3489 4.3489 4.3489
angles: 90.00 90.00 90.00
Last column: nearest neighbours and their distance in Å.
Space group Pm-3m (No. 221)
Asymmetric unit:
Zr1 0.0000 0.0000 0.5000 x3  2 H 2.17
Si1 0.5000 0.5000 0.5000 x1  12 Zr 3.08
H1 0.0000 0.0000 0.0000 x1  6 Zr 2.17


One value per record, in order, for total magnetization: 0.0; 0.0; 0.0 μB/f.u..
One value per record, in order, for DFT total energy: -4.505; -3.589; -7.308 eV/atom.